No. 1
Ce3Al2CrO9 after structural relaxation, computed with PBE with a Hubbard U.

a = 5.4123 Å, b = 5.4123 Å, c = 6.5907 Å
α = 90.00°, β = 90.00°, γ = 120.00°
Closest atoms and distances in Å follow each position.
Space group P-3m1 (No. 164)
Inequivalent atoms, fractional coordinates:
Ce 0.0000 0.0000 0.0000 (multiplicity 1)  12 O 2.69-2.71
Ce 0.3333 0.6667 0.6638 (multiplicity 2)  12 O 2.69-2.71
Al 0.3333 0.6667 0.1611 (multiplicity 2)  6 O 1.88-1.89
Cr 0.0000 0.0000 0.5000 (multiplicity 1)  6 O 1.96
O 0.0000 0.5000 0.0000 (multiplicity 3)  2 Al 1.89
O 0.1706 0.3411 0.3285 (multiplicity 6)  1 Al 1.88, 1 Cr 1.96

***

No. 2
Mg2CoTcO6 after structural relaxation, computed with PBE with a Hubbard U.

a = 5.0884 Å, b = 5.0884 Å, c = 13.6114 Å
α = 90.00°, β = 90.00°, γ = 120.00°
Closest atoms and distances in Å follow each position.
Space group R3 (No. 146, hexagonal axes)
Inequivalent atoms, fractional coordinates:
Mg 0.0000 0.0000 0.0000 (multiplicity 3)  6 O 2.03-2.17
Mg 0.0000 0.0000 0.4984 (multiplicity 3)  6 O 2.02-2.19
Co 0.0000 0.0000 0.7040 (multiplicity 3)  6 O 1.95-2.00
Tc 0.0000 0.0000 0.2046 (multiplicity 3)  6 O 1.94-2.01
O 0.0443 0.6960 0.7777 (multiplicity 9)  1 Co 1.95, 1 Tc 2.01, 2 Mg 2.02-2.17
O 0.0447 0.3465 0.2785 (multiplicity 9)  1 Tc 1.94, 1 Co 2.00, 1 Mg 2.03

***

Number 1: DOS(E_F) 1.42 states/eV per atom, raw total energy -8.07 eV per atom. Number 2: DOS(E_F) 0.39 states/eV per atom, raw total energy -6.57 eV per atom.